## Ni2HgO (PBE with a Hubbard U)

Data for Ni2HgO after structural relaxation.

Properties
N(E_F) in states/eV per atom: 1.676
ΔE to the lowest computed polymorph in eV/f.u.: 4.00
DFT total energy in eV/atom: -1.58

Unit cell a=4.2245 b=4.2245 c=4.2245 alpha=60.00 beta=60.00 gamma=60.00
With the nearest neighbours (Å) after each atom.
Sites, in units of the cell vectors:
Ni: 0.7500 0.7500 0.7500  4 O 2.59, 4 Hg 2.59
Ni: 0.2500 0.2500 0.2500  4 Hg 2.59, 4 O 2.59
O: 0.0000 0.0000 0.0000  8 Ni 2.59
Hg: 0.5000 0.5000 0.5000  8 Ni 2.59